# NiGePtO6, relaxed, DFT GGA+U
# - SG = P-31c (163)
# - energy (eV per atom) = -5.63
data_NiGePtO6
_chemical_formula_sum 'Ni2 Ge2 Pt2 O12'
_cell_length_a 5.0726
_cell_length_b 5.0726
_cell_length_c 8.6293
_cell_angle_alpha 90.00
_cell_angle_beta 90.00
_cell_angle_gamma 120.00
_space_group_name_H-M_alt 'P 1'
_space_group_IT_number 1
_space_group_name_Hall 'P 1'
loop_
_atom_site_label
_atom_site_type_symbol
_atom_site_fract_x
_atom_site_fract_y
_atom_site_fract_z
_atom_site_occupancy
Ni1 Ni 0.0000 0.0000 0.0000 1
Ni2 Ni 0.0000 0.0000 0.5000 1
Ge1 Ge 0.3333 0.6667 0.2500 1
Ge2 Ge 0.6667 0.3333 0.7500 1
Pt1 Pt 0.3333 0.6667 0.7500 1
Pt2 Pt 0.6667 0.3333 0.2500 1
O1 O 0.0102 0.3551 0.1301 1
O2 O 0.0102 0.6550 0.3699 1
O3 O 0.3450 0.3551 0.3699 1
O4 O 0.3450 0.9898 0.1301 1
O5 O 0.3551 0.0102 0.6301 1
O6 O 0.3551 0.3450 0.8699 1
O7 O 0.6449 0.6550 0.1301 1
O8 O 0.6449 0.9898 0.3699 1
O9 O 0.6550 0.0102 0.8699 1
O10 O 0.6550 0.6449 0.6301 1
O11 O 0.9898 0.3450 0.6301 1
O12 O 0.9898 0.6449 0.8699 1